(1)
A plane-wave DFT calculation with PBE was carried out for a relaxed structure of CuAg4Pd.

Results
E above lowest polymorph, meV/atom: 270
ΔE_f, meV per atom: 296

Cell: 6.1144 6.1013 7.7012 Å, 114.41 113.39 90.00°
Atoms (fractional coordinates):
Cu (0.2500, 0.7500, 0.0000)
Cu (0.7500, 0.2500, 0.0000)
Ag (0.1145, 0.1175, 0.2361)
Ag (0.1216, 0.6175, 0.2361)
Ag (0.6216, 0.1174, 0.2361)
Ag (0.6145, 0.6174, 0.2361)
Ag (0.3784, 0.8826, 0.7639)
Ag (0.3855, 0.3826, 0.7639)
Ag (0.8855, 0.8825, 0.7639)
Ag (0.8784, 0.3825, 0.7639)
Pd (0.5000, 0.5000, 0.5000)
Pd (0.0000, 0.0000, 0.5000)



(2)
A plane-wave DFT calculation with PBE was carried out for a relaxed structure of Nd5HgRu2.

Results
ΔE_f, meV per atom: -303

Cell: 7.9640 7.9640 8.9344 Å, 116.47 116.47 90.00°
Atoms (fractional coordinates):
Nd (0.5279, 0.7061, 0.7341)
Nd (0.7939, 0.9721, 0.2659)
Nd (0.0000, 0.0000, 0.0000)
Nd (0.5000, 0.5000, 0.0000)
Nd (0.2061, 0.0279, 0.7341)
Nd (0.7061, 0.2061, 0.7341)
Nd (0.0279, 0.5279, 0.7341)
Nd (0.2939, 0.7939, 0.2659)
Nd (0.9721, 0.4721, 0.2659)
Nd (0.4721, 0.2939, 0.2659)
Hg (0.7500, 0.7500, 0.5000)
Hg (0.2500, 0.2500, 0.5000)
Ru (0.1406, 0.3594, 0.0000)
Ru (0.6406, 0.1406, 0.0000)
Ru (0.3594, 0.8594, 0.0000)
Ru (0.8594, 0.6406, 0.0000)



Number 1: total magnetization 0.00 μB per formula unit. Number 2: total magnetization 0.00 μB per formula unit.